Ac2Nd3Pd2 | PBE | relaxed

Its total energy is -5.1610 eV/atom. The symmetry is C2/m. For the density of states at the Fermi level, the calculation gives 8.329 states/eV/f.u. Its total magnetic moment is 0.0 μB per formula unit.

a b c (Å): 4.006 6.672 9.551
angles (deg): 112.79 90.00 107.47
Sites, in units of the cell vectors:
1 Nd 0.500 0.000 0.000
2 Nd 0.618 0.235 0.433
3 Nd 0.382 0.765 0.567
4 Ac 0.159 0.317 0.801
5 Ac 0.841 0.683 0.199
6 Pd 0.157 0.315 0.228
7 Pd 0.843 0.685 0.772

SrPmNpN3 | PBE | relaxed

Its total energy is -8.2631 eV/atom. The symmetry is P2_1/m. For the density of states at the Fermi level, the calculation gives 1.980 states/eV/f.u. The value obtained for the formation energy from raw total energies is -0.87 eV/atom. Its total magnetic moment is 0.3 μB per formula unit.

a b c (Å): 3.691 7.711 8.761
angles (deg): 99.36 90.00 90.00
Each line ends with the local moment (μB).
Sites, in units of the cell vectors:
1 Np 0.250 0.057 0.594  0.31
2 Np 0.750 0.943 0.406  0.31
3 Pm 0.250 0.612 0.155  0.00
4 Pm 0.750 0.388 0.845  0.00
5 N 0.250 0.095 0.824  -0.01
6 N 0.250 0.795 0.421  -0.02
7 N 0.750 0.905 0.176  -0.01
8 N 0.750 0.205 0.579  -0.02
9 N 0.750 0.408 0.115  0.00
10 N 0.250 0.592 0.885  0.00
11 Sr 0.750 0.831 0.861  0.00
12 Sr 0.250 0.169 0.139  0.00

Si7As6 | PBE | relaxed

Its total energy is -4.5935 eV/atom. The symmetry is R-3m. For the density of states at the Fermi level, the calculation gives 2.634 states/eV/f.u. The value obtained for the formation energy from raw total energies is 0.47 eV/atom. Its total magnetic moment is 0.0 μB per formula unit.

a b c (Å): 10.832 10.832 10.832
angles (deg): 28.56 28.56 28.56
Sites, in units of the cell vectors:
1 As 0.643 0.643 0.643
2 As 0.908 0.908 0.908
3 As 0.828 0.828 0.828
4 As 0.092 0.092 0.092
5 As 0.172 0.172 0.172
6 As 0.357 0.357 0.357
7 Si 0.915 0.412 0.412
8 Si 0.085 0.588 0.588
9 Si 0.500 0.500 0.500
10 Si 0.588 0.588 0.085
11 Si 0.412 0.915 0.412
12 Si 0.588 0.085 0.588
13 Si 0.412 0.412 0.915

Hf6CoSb2 | PBE | relaxed

Its total energy is -8.8326 eV/atom. The symmetry is P-62m. For the density of states at the Fermi level, the calculation gives 5.803 states/eV/f.u. The value obtained for the formation energy from raw total energies is -0.49 eV/atom. Its total magnetic moment is 0.0 μB per formula unit.

a b c (Å): 3.580 7.744 7.744
angles (deg): 120.00 90.00 90.00
Sites, in units of the cell vectors:
1 Hf 0.500 0.000 0.603
2 Hf 0.500 0.603 0.000
3 Hf 0.000 0.000 0.239
4 Hf 0.500 0.397 0.397
5 Hf 0.000 0.239 0.000
6 Hf 0.000 0.761 0.761
7 Co 0.500 0.000 0.000
8 Sb 0.000 0.333 0.667
9 Sb 0.000 0.667 0.333

CaCu2 | PBE | relaxed

Its total energy is -3.4554 eV/atom. The symmetry is Cmcm. For the density of states at the Fermi level, the calculation gives 1.558 states/eV/f.u. Its total magnetic moment is 0.0 μB per formula unit.

a b c (Å): 5.605 5.605 4.342
angles (deg): 90.00 90.00 125.57
Sites, in units of the cell vectors:
1 Cu 0.146 0.577 0.250
2 Cu 0.854 0.423 0.750
3 Cu 0.423 0.854 0.750
4 Cu 0.577 0.146 0.250
5 Ca 0.241 0.241 0.750
6 Ca 0.759 0.759 0.250

Cs2AgF2 | PBE | relaxed

Its total energy is -3.2833 eV/atom. The symmetry is I4/mmm. For the density of states at the Fermi level, the calculation gives 4.218 states/eV/f.u. The value obtained for the formation energy from raw total energies is -1.62 eV/atom. Its total magnetic moment is 0.0 μB per formula unit. Its energy above the lowest structure with this stoichiometry is 13 meV/atom.

a b c (Å): 5.910 5.910 6.939
angles (deg): 64.79 64.79 90.00
Sites, in units of the cell vectors:
1 F 0.218 0.218 0.564
2 F 0.782 0.782 0.436
3 Ag 0.000 0.000 0.000
4 Cs 0.250 0.750 0.500
5 Cs 0.750 0.250 0.500

InBi2C | PBE | relaxed

Its total energy is -4.0124 eV/atom. The symmetry is I-42d. For the density of states at the Fermi level, the calculation gives 2.076 states/eV/f.u. Its total magnetic moment is 0.0 μB per formula unit. Its energy above the lowest structure with this stoichiometry is 0 meV/atom.

a b c (Å): 7.037 7.037 6.676
angles (deg): 58.19 58.19 90.00
Sites, in units of the cell vectors:
1 C 0.500 0.500 0.000
2 C 0.250 0.750 0.500
3 In 0.000 0.000 0.000
4 In 0.750 0.250 0.500
5 Bi 0.875 0.786 0.750
6 Bi 0.536 0.125 0.250
7 Bi 0.375 0.464 0.750
8 Bi 0.214 0.625 0.250

CrCoGePdS | PBE | relaxed

Its total energy is -6.4298 eV/atom. The symmetry is Pmm2. For the density of states at the Fermi level, the calculation gives 2.205 states/eV/f.u. The value obtained for the formation energy from raw total energies is -0.30 eV/atom. Its total magnetic moment is 3.0 μB per formula unit. Its energy above the lowest structure with this stoichiometry is 0 meV/atom.

a b c (Å): 3.685 3.630 5.928
angles (deg): 90.00 90.04 90.00
Each line ends with the local moment (μB).
Sites, in units of the cell vectors:
1 Co 0.828 0.000 0.921  0.68
2 Cr 0.328 0.500 0.933  2.24
3 S 0.828 0.500 0.152  -0.08
4 Ge 0.327 0.000 0.643  -0.02
5 Pd 0.827 0.500 0.565  0.05

Ac7PmNd3 | PBE | relaxed

Its total energy is -4.1542 eV/atom. The symmetry is C2/m. For the density of states at the Fermi level, the calculation gives 17.774 states/eV/f.u. Its total magnetic moment is 0.0 μB per formula unit.

a b c (Å): 6.739 11.624 6.739
angles (deg): 93.31 116.79 93.31
Sites, in units of the cell vectors:
1 Nd 0.824 0.000 0.176
2 Nd 0.176 0.000 0.824
3 Nd 0.000 0.500 0.000
4 Ac 0.809 0.763 0.809
5 Ac 0.548 0.294 0.917
6 Ac 0.191 0.237 0.191
7 Ac 0.917 0.294 0.548
8 Ac 0.452 0.706 0.083
9 Ac 0.500 0.000 0.500
10 Ac 0.083 0.706 0.452
11 Pm 0.500 0.500 0.500

NaTl5In5 | PBE | relaxed

Its total energy is -2.3861 eV/atom. The symmetry is P-6m2. For the density of states at the Fermi level, the calculation gives 4.827 states/eV/f.u. Its total magnetic moment is 0.0 μB per formula unit.

a b c (Å): 6.167 6.167 10.653
angles (deg): 90.00 90.00 120.00
Sites, in units of the cell vectors:
1 Tl 0.000 0.000 0.000
2 Tl 0.333 0.667 0.677
3 Tl 0.667 0.333 0.809
4 Tl 0.667 0.333 0.191
5 Tl 0.333 0.667 0.323
6 Na 0.333 0.667 0.000
7 In 0.000 0.000 0.729
8 In 0.347 0.174 0.500
9 In 0.826 0.174 0.500
10 In 0.826 0.653 0.500
11 In 0.000 0.000 0.271

La2PrNdTm5 | PBE | relaxed

Its total energy is -4.3972 eV/atom. The symmetry is I4/mcm. For the density of states at the Fermi level, the calculation gives 10.919 states/eV/f.u. Its total magnetic moment is 0.0 μB per formula unit.

a b c (Å): 8.697 8.697 9.959
angles (deg): 115.89 115.89 90.00
Sites, in units of the cell vectors:
1 La 0.383 0.883 0.000
2 La 0.117 0.383 0.000
3 La 0.617 0.117 0.000
4 La 0.883 0.617 0.000
5 Tm 0.353 0.853 0.279
6 Tm 0.147 0.074 0.721
7 Tm 0.426 0.353 0.279
8 Tm 0.647 0.147 0.721
9 Tm 0.574 0.647 0.721
10 Tm 0.500 0.500 0.000
11 Tm 0.000 0.000 0.000
12 Tm 0.853 0.926 0.279
13 Tm 0.926 0.426 0.279
14 Tm 0.074 0.574 0.721
15 Pr 0.250 0.250 0.500
16 Pr 0.750 0.750 0.500
17 Nd 0.250 0.750 0.500
18 Nd 0.750 0.250 0.500

SmEuTlPb | PBE | relaxed

Its total energy is -5.7032 eV/atom. The symmetry is F-43m. For the density of states at the Fermi level, the calculation gives 7.010 states/eV/f.u. Its total magnetic moment is 7.3 μB per formula unit.

a b c (Å): 5.561 5.561 5.561
angles (deg): 60.00 60.00 60.00
Each line ends with the local moment (μB).
Sites, in units of the cell vectors:
1 Eu 0.250 0.250 0.250  6.87
2 Sm 0.750 0.750 0.750  0.10
3 Tl 0.000 0.000 0.000  0.00
4 Pb 0.500 0.500 0.500  -0.02